[1]
CaThIn5: optimized geometry, PBE.

Output
total energy	-24.35	eV for the cell shown
symmetry	P4/mmm (123)

a b c (Å): 4.570 4.570 10.123
angles (deg): 90.00 90.00 90.00
Positions (direct):
In: 0.000 0.500 0.751
In: 0.500 0.500 0.500
In: 0.500 0.000 0.249
Th: 0.000 0.000 0.500
In: 0.500 0.000 0.751
Ca: 0.500 0.500 0.000
In: 0.000 0.500 0.249

=====

[2]
TlIr3O: optimized geometry, PBE.

Output
total energy	-18.92	eV for the cell shown
energy relative to the lowest polymorph listed for this composition	2087	meV per atom
symmetry	Pm-3m (221)
formation energy (no corrections)	2997	meV per atom

a b c (Å): 5.048 5.048 5.048
angles (deg): 90.00 90.00 90.00
Last column: magnetic moment on the atom in μB.
Positions (direct):
Tl: 0.000 0.000 0.000  -0.04
Ir: 0.000 0.000 0.500  1.25
Ir: 0.000 0.500 0.000  1.37
O: 0.500 0.500 0.500  1.27
Ir: 0.500 0.000 0.000  1.22

=====

[3]
Pm2MgGa6Cu: optimized geometry, PBE.

Output
total energy	-73.22	eV for the cell shown
symmetry	R-3m (166)

a b c (Å): 6.361 6.361 12.351
angles (deg): 75.08 75.08 60.00
Positions (direct):
Ga: 0.329 0.329 0.412
Pm: 0.720 0.720 0.840
Ga: 0.221 0.221 0.904
Pm: 0.280 0.280 0.160
Pm: 0.106 0.106 0.681
Ga: 0.931 0.329 0.412
Mg: 0.426 0.426 0.722
Ga: 0.221 0.653 0.904
Ga: 0.779 0.779 0.096
Pm: 0.894 0.894 0.319
Mg: 0.574 0.574 0.278
Ga: 0.329 0.931 0.412
Ga: 0.671 0.671 0.588
Ga: 0.671 0.069 0.588
Ga: 0.653 0.221 0.904
Cu: 0.000 0.000 0.000
Cu: 0.500 0.500 0.500
Ga: 0.069 0.671 0.588
Ga: 0.779 0.347 0.096
Ga: 0.347 0.779 0.096

=====

[4]
CrFeNi: optimized geometry, PBE.

Output
total energy	-23.58	eV for the cell shown
energy relative to the lowest polymorph listed for this composition	47	meV per atom
symmetry	P3m1 (156)

a b c (Å): 4.007 4.007 2.415
angles (deg): 90.00 90.00 120.00
Last column: magnetic moment on the atom in μB.
Positions (direct):
Ni: 0.333 0.667 0.664  0.05
Cr: 0.000 0.000 0.056  -0.78
Fe: 0.667 0.333 0.281  1.81